A plane-wave DFT calculation with GGA+U was carried out for crystalline BaCrSbO6 at its relaxed geometry.

Cell and atoms, written as CIF:
```
data_BaCrSbO6
_chemical_formula_sum 'Ba1 Cr1 Sb1 O6'
_cell_length_a 5.2553
_cell_length_b 5.2553
_cell_length_c 5.7711
_cell_angle_alpha 90.00
_cell_angle_beta 90.00
_cell_angle_gamma 120.00
_space_group_name_H-M_alt 'P 3 1 2'
_space_group_IT_number 149
_space_group_name_Hall 'P 3 2'
loop_
_atom_site_label
_atom_site_fract_x
_atom_site_fract_y
_atom_site_fract_z
Ba1 0.0000 0.0000 0.0000
Cr1 0.6667 0.3333 0.5000
Sb1 0.3333 0.6667 0.5000
O1 0.4086 0.0152 0.6938
```

Results
- Total magnetic moment: 1.0 μB/f.u.
- E: -6.5832 eV per atom
- Calculated density: 4897 kg/m3
- Calculated volume: 15.337 A^3/atom